No. 1
## KSr2Ag (PBE)

Data for KSr2Ag after structural relaxation.

Results
The formation energy is -0.003 eV per atom. The polymorph energy (0 for the lowest one) is 0.36 eV per formula unit. The crystal system is monoclinic.

Geometry as POSCAR:
```
KSr2Ag
1.0
7.428 -2.103 0.000
7.428 2.103 0.000
-3.029 0.000 5.994
K Sr Ag
1 2 1
Cartesian
0.000 0.000 0.000
0.707 0.000 4.122
11.120 0.000 1.871
5.913 0.000 2.997
```

No. 2
## CaLu2Co (PBE)

Data for CaLu2Co after structural relaxation.

Results
The formation energy is 0.062 eV per atom. The polymorph energy (0 for the lowest one) is 0.64 eV per formula unit. The crystal system is trigonal.

Geometry as POSCAR:
```
CaLu2Co
1.0
1.864 1.076 10.183
-1.864 1.076 10.183
0.000 -2.152 10.183
Ca Lu Co
1 2 1
Cartesian
0.000 0.000 0.000
0.000 0.000 3.655
0.000 0.000 26.894
0.000 0.000 15.274
```

No. 3
## SrAc2Np3N8 (PBE)

Data for SrAc2Np3N8 after structural relaxation.

Results
The value obtained for the uncorrected formation energy is -1086 meV/atom. The crystal system is trigonal.

Geometry as POSCAR:
```
SrAc2Np3N8
1.0
3.514 2.029 6.033
-3.514 2.029 6.033
0.000 -4.057 6.033
Sr Ac Np N
1 2 3 8
Cartesian
0.000 0.000 0.000
0.000 0.000 4.195
0.000 0.000 11.164
-1.764 -1.019 8.131
1.764 -1.019 8.131
0.000 2.037 8.131
0.000 -1.760 9.274
-1.524 0.880 9.274
0.000 0.000 7.015
-1.499 -0.866 13.065
1.524 0.880 9.274
0.000 0.000 15.252
1.499 -0.866 13.065
0.000 1.731 13.065
```

No. 4
## Pm2ThZn4 (PBE)

Data for Pm2ThZn4 after structural relaxation.

Results
The formation energy is -0.080 eV per atom. The crystal system is tetragonal.

Geometry as POSCAR:
```
Pm2ThZn4
1.0
-2.669 2.669 6.306
2.669 -2.669 6.306
2.669 2.669 -6.306
Pm Th Zn
2 1 4
Cartesian
0.000 0.000 2.758
0.000 0.000 9.854
0.000 0.000 6.306
2.669 0.000 1.386
2.669 0.000 4.920
0.000 2.669 1.386
0.000 2.669 4.920
```

| no. | calculated volume (Å³ per cell) |
| --- | --- |
| 1 | 187.23 |
| 2 | 122.57 |
| 3 | 258.05 |
| 4 | 179.64 |